Computed, not measured: a geometry-optimized Ba5Ca structure at the PBE level of DFT. Values from VASP.

```
&SYSTEM
  ibrav = 0, nat = 6, ntyp = 2
/
ATOMIC_SPECIES
Ba 137.33 Ba.upf
Ca 40.08 Ca.upf
CELL_PARAMETERS angstrom
0.0000 5.7326 5.7326
5.7326 0.0000 5.7326
5.7326 5.7326 0.0000
ATOMIC_POSITIONS crystal
Ba 0.2500 0.2500 0.2500
Ba 0.1235 0.6255 0.6255
Ba 0.6255 0.6255 0.1235
Ba 0.6255 0.6255 0.6255
Ba 0.6255 0.1235 0.6255
Ca 0.0000 0.0000 0.0000
```

* SG: F-43m
* formation enthalpy at 0 K: 87 kJ/mol of formula units
* D(E_F): 1.74 states/eV/atom